No. 1
This record from the Alexandria database describes a relaxed NiSbNF2 crystal. The functional is PBE+U.

Output
E_tot: -4.2923 eV/atom
Spin magnetization: 1.93 μB per formula unit
Space group: P4/mmm
Relative energy among the computed polymorphs: 0.0 meV/atom

POSCAR file:
```
NiSbNF2
1.0
3.8126 0.0000 0.0000
0.0000 3.8126 0.0000
0.0000 0.0000 4.4030
Ni Sb N F
1 1 1 2
Cartesian
0.0000 0.0000 0.0000 Ni
1.9063 1.9063 2.2015 Sb
0.0000 0.0000 2.2015 N
0.0000 1.9063 0.0000 F
1.9063 0.0000 0.0000 F
```

No. 2
This record from the Alexandria database describes a relaxed NiSnNF2 crystal. The functional is PBE+U.

Output
E_tot: -4.1897 eV/atom
Spin magnetization: 1.02 μB per formula unit
Space group: P4/mmm
Relative energy among the computed polymorphs: 248.2 meV/atom

POSCAR file:
```
NiSnNF2
1.0
4.2433 0.0000 0.0000
0.0000 4.2433 0.0000
0.0000 0.0000 3.9342
Ni Sn N F
1 1 1 2
Cartesian
0.0000 0.0000 0.0000 Ni
2.1217 2.1217 1.9671 Sn
2.1217 2.1217 0.0000 N
0.0000 2.1217 1.9671 F
2.1217 0.0000 1.9671 F
```

No. 3
This record from the Alexandria database describes a relaxed NiSnNF2 crystal. The functional is PBE+U.

Output
E_tot: -4.4379 eV/atom
Spin magnetization: 1.99 μB per formula unit
Space group: P4/mmm
Relative energy among the computed polymorphs: 0.0 meV/atom

POSCAR file:
```
NiSnNF2
1.0
3.8508 0.0000 0.0000
0.0000 3.8508 0.0000
0.0000 0.0000 4.3329
Ni Sn N F
1 1 1 2
Cartesian
0.0000 0.0000 0.0000 Ni
1.9254 1.9254 2.1664 Sn
0.0000 0.0000 2.1664 N
0.0000 1.9254 0.0000 F
1.9254 0.0000 0.0000 F
```

No. 4
This record from the Alexandria database describes a relaxed SrNiNF2 crystal. The functional is PBE+U.

Output
E_tot: -4.7834 eV/atom
Spin magnetization: 2.94 μB per formula unit
Space group: P4/mmm
Relative energy among the computed polymorphs: 0.0 meV/atom

POSCAR file:
```
SrNiNF2
1.0
4.0952 0.0000 0.0000
0.0000 4.0952 0.0000
0.0000 0.0000 3.9771
Sr Ni N F
1 1 1 2
Cartesian
0.0000 0.0000 0.0000 Sr
2.0476 2.0476 1.9886 Ni
2.0476 2.0476 0.0000 N
0.0000 2.0476 1.9886 F
2.0476 0.0000 1.9886 F
```